Entry 1:
VASP calculation (PBE) on a relaxed Pd3N crystal.

It has space group P6_322 (No. 182), with a = 5.1178 Å, b = 5.1178 Å, c = 4.7927 Å, α = 90.00°, β = 90.00° and γ = 120.00°. The asymmetric unit holds Pd at (0.0000, 0.3314, 0.0000) and N at (0.3333, 0.6667, 0.2500).

As for the crystal system: hexagonal. The energy is -45.172 eV/cell.

Entry 2:
VASP calculation (PBE) on a relaxed ZrTlHg3S4 crystal.

It has space group P2_1/m (No. 11), with a = 7.203 Å, b = 7.624 Å, c = 10.342 Å, α = 90.00°, β = 108.60° and γ = 90.00°. The asymmetric unit holds Zr at (0.012, 0.250, 0.248), Tl at (0.198, 0.250, 0.921), Hg at (0.294, 0.538, 0.465), Hg at (0.473, 0.750, 0.702), S at (0.086, 0.250, 0.498), S at (0.182, 0.003, 0.191) and S at (0.331, 0.750, 0.893).

The energy relative to the lowest polymorph listed for this composition is 0.0 meV/atom. As for the crystal system: monoclinic. As for the total magnetization: 0.000 μB per atom.

Entry 3:
VASP calculation (PBE) on a relaxed TbGdZn crystal.

It has space group P6_3/mmc (No. 194), with a = 5.1228 Å, b = 5.1228 Å, c = 13.5101 Å, α = 90.00°, β = 90.00° and γ = 120.00°. The asymmetric unit holds Tb at (0.3333, 0.6667, 0.1140), Gd at (0.0000, 0.0000, 0.0000), Gd at (0.0000, 0.0000, 0.2500) and Zn at (0.3333, 0.6667, 0.6434).

The energy relative to the lowest polymorph listed for this composition is 0.0 meV/atom. As for the crystal system: hexagonal. The formation energy is -0.0854 eV/atom. As for the total magnetization: 0.002 μB per atom.

Entry 4:
VASP calculation (PBE) on a relaxed TaAuNO crystal.

It has space group Pbcm (No. 57), with a = 7.757 Å, b = 5.511 Å, c = 5.435 Å, α = 90.00°, β = 90.00° and γ = 90.00°. The asymmetric unit holds Ta at (0.126, 0.250, 0.000), Au at (0.500, 0.000, 0.000), N at (0.288, 0.102, 0.250) and O at (0.057, 0.519, 0.250).

The energy relative to the lowest polymorph listed for this composition is 270.2 meV/atom. As for the crystal system: orthorhombic. As for the total magnetization: 0.000 μB per atom.

Entry 5:
VASP calculation (PBE) on a relaxed Dy3ScNb crystal.

It has space group Ama2 (No. 40), with a = 6.319 Å, b = 8.046 Å, c = 10.770 Å, α = 90.00°, β = 90.00° and γ = 90.00°. The asymmetric unit holds Dy at (0.250, 0.134, 0.000), Dy at (0.250, 0.197, 0.680), Dy at (0.250, 0.301, 0.300), Sc at (0.000, 0.000, 0.466) and Nb at (0.000, 0.000, 0.217).

As for the crystal system: orthorhombic. The formation energy is 0.2544 eV/atom. As for the total magnetization: 0.002 μB per atom.

Entry 6:
VASP calculation (PBE) on a relaxed SmReTe crystal.

It has space group F-43m (No. 216), with a = 6.743 Å, b = 6.743 Å, c = 6.743 Å, α = 90.00°, β = 90.00° and γ = 90.00°. The asymmetric unit holds Sm at (0.000, 0.000, 0.000), Re at (0.000, 0.000, 0.500) and Te at (0.250, 0.250, 0.750).

The energy relative to the lowest polymorph listed for this composition is 0.0 meV/atom. As for the crystal system: cubic. As for the total magnetization: 0.563 μB per atom.

Entry 7:
VASP calculation (PBE) on a relaxed SrAlIr crystal.

It has space group F-43m (No. 216), with a = 6.626 Å, b = 6.626 Å, c = 6.626 Å, α = 90.00°, β = 90.00° and γ = 90.00°. The asymmetric unit holds Sr at (0.000, 0.000, 0.000), Al at (0.000, 0.000, 0.500) and Ir at (0.250, 0.250, 0.750).

As for the crystal system: cubic. As for the total magnetization: 0.000 μB per atom. The energy is -58.044 eV/cell.

Entry 8:
VASP calculation (PBE) on a relaxed CdMo4AsC2 crystal.

It has space group P-6m2 (No. 187), with a = 3.1293 Å, b = 3.1293 Å, c = 13.3378 Å, α = 90.00°, β = 90.00° and γ = 120.00°. The asymmetric unit holds Cd at (0.0000, 0.0000, 0.0000), Mo at (0.0000, 0.0000, 0.3532), Mo at (0.3333, 0.6667, 0.1832), As at (0.3333, 0.6667, 0.5000) and C at (0.6667, 0.3333, 0.2634).

As for the crystal system: hexagonal. As for the total magnetization: 0.000 μB per atom. The energy is -67.473 eV/cell.

Entry 9:
VASP calculation (PBE) on a relaxed Te2Pd3Se2 crystal.

It has space group C2/m (No. 12), with a = 11.848 Å, b = 8.547 Å, c = 8.355 Å, α = 90.00°, β = 133.97° and γ = 90.00°. The asymmetric unit holds Te at (0.186, 0.000, 0.160), Te at (0.245, 0.500, 0.221), Pd at (0.000, 0.289, 0.000), Pd at (0.044, 0.000, 0.334), Pd at (0.250, 0.250, 0.000) and Se at (0.037, 0.293, 0.336).

As for the crystal system: monoclinic. The energy is -122.363 eV/cell.

Entry 10:
VASP calculation (PBE) on a relaxed GaCoTc crystal.

It has space group F-43m (No. 216), with a = 5.733 Å, b = 5.733 Å, c = 5.733 Å, α = 90.00°, β = 90.00° and γ = 90.00°. The asymmetric unit holds Ga at (0.000, 0.000, 0.000), Co at (0.000, 0.000, 0.500) and Tc at (0.250, 0.250, 0.750).

As for the crystal system: cubic. As for the total magnetization: 0.317 μB per atom. The energy is -76.672 eV/cell.

Entry 11:
VASP calculation (PBE) on a relaxed LiFeSiNi crystal.

It has space group F-43m (No. 216), with a = 5.474 Å, b = 5.474 Å, c = 5.474 Å, α = 90.00°, β = 90.00° and γ = 90.00°. The asymmetric unit holds Li at (0.000, 0.000, 0.000), Fe at (0.250, 0.250, 0.750), Si at (0.000, 0.000, 0.500) and Ni at (0.250, 0.250, 0.250).

The energy relative to the lowest polymorph listed for this composition is 0.0 meV/atom. As for the crystal system: cubic. As for the total magnetization: 0.008 μB per atom.

Entry 12:
VASP calculation (PBE) on a relaxed NiMo2W crystal.

It has space group F-43m (No. 216), with a = 6.188 Å, b = 6.188 Å, c = 6.188 Å, α = 90.00°, β = 90.00° and γ = 90.00°. The asymmetric unit holds Ni at (0.000, 0.000, 0.000), Mo at (0.000, 0.000, 0.500), Mo at (0.250, 0.250, 0.750) and W at (0.250, 0.250, 0.250).

As for the crystal system: cubic. The formation energy is 0.2316 eV/atom. As for the total magnetization: 0.001 μB per atom.